No. 1
A geometry-optimized PmZnCuAu6 structure, computed with GGA-PBE.

```
PmZnCuAu6
1.0
-3.825 -6.222 1.532
5.884 -4.767 -4.668
1.957 4.768 6.074
Pm Zn Cu Au
2 2 2 12
direct
0.705 0.455 0.410
0.295 0.545 0.590
0.500 0.000 0.500
0.000 0.000 0.500
0.500 0.500 0.000
0.500 0.000 0.000
0.594 0.844 0.187
0.994 0.244 0.987
0.930 0.140 0.255
0.325 0.615 0.255
0.325 0.140 0.255
0.930 0.615 0.255
0.406 0.156 0.813
0.006 0.756 0.013
0.070 0.860 0.745
0.675 0.385 0.745
0.675 0.860 0.745
0.070 0.385 0.745
```

## Properties
Energy of formation from the pure elements, kJ/mol of formula units: -191.9
Space-group type: Imma, No. 74
Total magnetization, Bohr magnetons per cell: 0.000

***

No. 2
A geometry-optimized Pr8CuAu2 structure, computed with GGA-PBE.

```
Pr8CuAu2
1.0
5.667 -0.160 -1.095
-2.705 7.900 -6.103
0.104 -2.709 9.981
Pr Au Cu
8 2 1
direct
0.613 0.443 0.196
0.613 0.196 0.443
0.045 0.246 0.246
0.957 0.195 0.806
0.957 0.806 0.195
0.835 0.699 0.699
0.327 0.819 0.586
0.327 0.586 0.819
0.454 0.750 0.254
0.454 0.254 0.750
0.418 0.039 0.039
```

## Properties
Energy of formation from the pure elements, kJ/mol of formula units: -249.1
Space-group type: Cm, No. 8
Total magnetization, Bohr magnetons per cell: 0.000

***

No. 3
A geometry-optimized Pr2Cu2Au structure, computed with GGA-PBE.

```
Pr2Cu2Au
1.0
-2.513 -1.999 3.026
3.109 -2.279 4.292
-2.305 7.546 6.288
Pr Cu Au
4 4 2
direct
0.681 0.290 0.347
0.917 0.278 0.888
0.319 0.710 0.653
0.083 0.722 0.112
0.066 0.304 0.563
0.626 0.855 0.894
0.934 0.696 0.437
0.374 0.145 0.106
0.605 0.123 0.667
0.395 0.877 0.333
```

## Properties
Energy of formation from the pure elements, kJ/mol of formula units: -182.6
Space-group type: C2/m, No. 12
Total magnetization, Bohr magnetons per cell: 0.000

***

No. 4
A geometry-optimized PrCu2Au5 structure, computed with GGA-PBE.

```
PrCu2Au5
1.0
-1.282 -0.466 -3.831
0.825 -6.281 -1.670
-5.889 -2.866 0.161
Pr Cu Au
1 2 5
direct
0.000 0.000 0.000
0.734 0.766 0.766
0.266 0.234 0.234
0.000 0.500 0.500
0.649 0.543 0.159
0.351 0.457 0.841
0.351 0.841 0.457
0.649 0.159 0.543
```

## Properties
Energy of formation from the pure elements, kJ/mol of formula units: -183.7
Space-group type: Immm, No. 71
Total magnetization, Bohr magnetons per cell: 0.000

***

No. 5
A geometry-optimized Pr2CuAu2 structure, computed with GGA-PBE.

```
Pr2CuAu2
1.0
4.296 0.000 0.000
2.148 5.420 -0.413
2.148 0.157 10.348
Pr Cu Au
4 2 4
direct
0.674 0.308 0.345
0.927 0.262 0.884
0.326 0.692 0.655
0.073 0.738 0.116
0.616 0.097 0.671
0.384 0.903 0.329
0.081 0.270 0.568
0.645 0.828 0.883
0.919 0.730 0.432
0.355 0.172 0.117
```

## Properties
Energy of formation from the pure elements, kJ/mol of formula units: -297.2
Space-group type: C2/m, No. 12
Total magnetization, Bohr magnetons per cell: 0.000

***

No. 6
A geometry-optimized PrCuAu3 structure, computed with GGA-PBE.

```
PrCuAu3
1.0
-1.240 4.847 -3.669
-5.827 2.164 0.399
1.714 3.796 4.436
Pr Cu Au
2 2 6
direct
0.003 0.204 0.052
0.558 0.762 0.552
0.860 0.061 0.552
0.700 0.905 0.052
0.096 0.300 0.552
0.465 0.665 0.052
0.496 0.268 0.802
0.496 0.268 0.303
0.065 0.698 0.302
0.065 0.698 0.803
```

## Properties
Energy of formation from the pure elements, kJ/mol of formula units: -202.0
Space-group type: P2_1/m, No. 11
Total magnetization, Bohr magnetons per cell: 0.000

***

No. 7
A geometry-optimized Pr6Cu2Au structure, computed with GGA-PBE.

```
Pr6Cu2Au
1.0
-3.143 -0.636 -8.150
-1.091 -7.505 4.381
-4.307 6.284 4.321
Pr Cu Au
12 4 2
direct
0.553 0.728 0.824
0.447 0.272 0.176
0.096 0.272 0.824
0.904 0.728 0.176
0.813 0.750 0.563
0.187 0.250 0.437
0.187 0.750 0.937
0.813 0.250 0.063
0.696 0.370 0.674
0.304 0.630 0.326
0.304 0.978 0.674
0.696 0.022 0.326
0.500 0.382 0.882
0.500 0.618 0.118
0.643 0.000 0.643
0.357 0.000 0.357
0.000 0.500 0.500
0.000 0.000 0.000
```

## Properties
Energy of formation from the pure elements, kJ/mol of formula units: -183.3
Space-group type: Immm, No. 71
Total magnetization, Bohr magnetons per cell: 0.000

***

No. 8
A geometry-optimized Pr6CuAu5 structure, computed with GGA-PBE.

```
Pr6CuAu5
1.0
5.215 -0.338 0.862
-0.021 6.861 2.814
1.239 0.292 9.069
Pr Au Cu
6 5 1
direct
0.834 0.586 0.331
0.834 0.083 0.331
0.500 0.753 0.000
0.500 0.247 0.000
0.166 0.917 0.669
0.166 0.414 0.669
0.663 0.163 0.674
0.332 0.333 0.335
0.000 0.500 0.000
0.668 0.667 0.665
0.337 0.837 0.326
0.000 0.000 0.000
```

## Properties
Energy of formation from the pure elements, kJ/mol of formula units: -740.6
Space-group type: C2/m, No. 12
Total magnetization, Bohr magnetons per cell: 0.000

***

No. 9
A geometry-optimized Pr2CuAu structure, computed with GGA-PBE.

```
Pr2CuAu
1.0
3.697 0.000 0.000
0.000 3.697 0.000
0.000 0.000 7.325
Pr Au Cu
2 1 1
direct
0.000 0.000 0.758
0.000 0.000 0.242
0.500 0.500 0.500
0.500 0.500 0.000
```

## Properties
Energy of formation from the pure elements, kJ/mol of formula units: -166.8
Space-group type: P4/mmm, No. 123
Total magnetization, Bohr magnetons per cell: 0.000

***

No. 10
A geometry-optimized Pr3CuAu3 structure, computed with GGA-PBE.

```
Pr3CuAu3
1.0
4.480 0.000 -0.977
-0.196 3.877 -0.901
-0.122 0.314 10.197
Pr Cu Au
3 1 3
direct
0.318 0.818 0.635
0.683 0.183 0.366
0.998 0.998 0.997
0.431 0.431 0.861
0.152 0.652 0.305
0.858 0.358 0.716
0.560 0.560 0.120
```

## Properties
Energy of formation from the pure elements, kJ/mol of formula units: -437.8
Space-group type: Imm2, No. 44
Total magnetization, Bohr magnetons per cell: 0.000

***

No. 11
A geometry-optimized Pr2Cu2Au structure, computed with GGA-PBE.

```
Pr2Cu2Au
1.0
-1.855 1.430 7.159
5.709 -4.320 2.342
4.784 6.309 -0.021
Pr Cu Au
8 8 4
direct
0.681 0.819 0.500
0.319 0.181 0.500
0.819 0.319 0.000
0.181 0.681 0.000
0.819 0.319 0.500
0.181 0.681 0.500
0.319 0.181 0.000
0.681 0.819 0.000
0.383 0.883 0.250
0.617 0.117 0.250
0.117 0.383 0.750
0.883 0.617 0.750
0.883 0.617 0.250
0.117 0.383 0.250
0.383 0.883 0.750
0.617 0.117 0.750
0.500 0.500 0.250
0.000 0.000 0.750
0.500 0.500 0.750
0.000 0.000 0.250
```

## Properties
Energy of formation from the pure elements, kJ/mol of formula units: -171.1
Space-group type: P4/mbm, No. 127
Total magnetization, Bohr magnetons per cell: 0.000

***

No. 12
A geometry-optimized Pr5CuAu4 structure, computed with GGA-PBE.

```
Pr5CuAu4
1.0
3.706 0.000 0.000
0.000 3.706 0.000
0.000 0.000 18.817
Pr Cu Au
5 1 4
direct
0.500 0.500 0.095
0.500 0.500 0.297
0.500 0.500 0.500
0.500 0.500 0.703
0.500 0.500 0.905
0.000 0.000 0.000
0.000 0.000 0.195
0.000 0.000 0.399
0.000 0.000 0.601
0.000 0.000 0.805
```

## Properties
Energy of formation from the pure elements, kJ/mol of formula units: -597.2
Space-group type: P4/mmm, No. 123
Total magnetization, Bohr magnetons per cell: 0.000

***

Which formula does entry 9 have? Pr2CuAu

***

What is the energy of formation from the pure elements in the seventh record? -183.3 kJ/mol of formula units